(1)
Compound: Sn2AsS6
Source: Alexandria
Functional: PBE
Structure: relaxed

Total magnetic moment   0.00 μB/f.u.
Formation energy (no corrections)   -0.2 eV per formula unit

Lattice parameters (Å, degrees): 6.0478 6.0478 11.4773 90.00 90.00 90.00
Positions (direct):
Sn1 0.0000 0.0000 0.1676
Sn2 0.0000 0.0000 0.8324
Sn3 0.5000 0.5000 0.3324
Sn4 0.5000 0.5000 0.6676
As1 0.0000 0.0000 0.5000
As2 0.5000 0.5000 0.0000
S1 0.1929 0.1929 0.3369
S2 0.1929 0.1929 0.6631
S3 0.1981 0.1981 0.0000
S4 0.3019 0.6981 0.5000
S5 0.3071 0.6929 0.1631
S6 0.3071 0.6929 0.8369
S7 0.6929 0.3071 0.1631
S8 0.6929 0.3071 0.8369
S9 0.6981 0.3019 0.5000
S10 0.8019 0.8019 0.0000
S11 0.8071 0.8071 0.3369
S12 0.8071 0.8071 0.6631



(2)
Compound: K2NpHgCl6
Source: Alexandria
Functional: PBE
Structure: relaxed

Total magnetic moment   3.00 μB/f.u.
Formation energy (no corrections)   -16.3 eV per formula unit

Lattice parameters (Å, degrees): 7.8194 7.8353 8.6113 90.05 116.99 119.92
Positions (direct):
K1 0.0000 0.0000 0.0000
K2 0.0542 0.5283 0.5811
Np1 0.3792 0.1902 0.5694
Hg1 0.4024 0.7018 0.1049
Cl1 0.1911 0.3589 0.3525
Cl2 0.2209 0.2339 0.7677
Cl3 0.5208 0.1616 0.3535
Cl4 0.5345 0.9897 0.7688
Cl5 0.7784 0.5461 0.7681
Cl6 0.9940 0.8337 0.3530



(3)
Compound: Pa2RuPb
Source: Alexandria
Functional: PBE
Structure: relaxed

Total magnetic moment   0.00 μB/f.u.
Offset from the most stable computed form   96 meV per atom
ΔH_f (0 K)   -3.1 kcal/mol of atoms

Lattice parameters (Å, degrees): 8.3679 8.3679 8.3679 26.96 26.96 26.96
Positions (direct):
Pa1 0.2318 0.2318 0.2318
Pa2 0.7682 0.7682 0.7682
Ru1 0.5000 0.5000 0.5000
Pb1 0.0000 0.0000 0.0000



(4)
Compound: PmPuTh2
Source: Alexandria
Functional: PBE
Structure: relaxed

Total magnetic moment   7.18 μB/f.u.
Offset from the most stable computed form   101 meV per atom
ΔH_f (0 K)   5.0 kcal/mol of atoms

Lattice parameters (Å, degrees): 5.5877 5.5877 5.5877 60.00 60.00 60.00
Positions (direct):
Pm1 0.0000 0.0000 0.0000
Pu1 0.5000 0.5000 0.5000
Th1 0.2500 0.2500 0.2500
Th2 0.7500 0.7500 0.7500



(5)
Compound: Er5Tl2HS
Source: Alexandria
Functional: PBE
Structure: relaxed

Total magnetic moment   0.00 μB/f.u.
Final energy   -4.5947 eV/atom

Lattice parameters (Å, degrees): 8.9617 8.9617 12.1618 90.00 90.00 153.62
Positions (direct):
Er1 0.0027 0.9973 0.5000
Er2 0.1437 0.8563 0.2550
Er3 0.1926 0.8074 0.9047
Er4 0.1954 0.8046 0.6108
Er5 0.4583 0.5417 0.2448
Er6 0.5417 0.4583 0.7448
Er7 0.8046 0.1954 0.1108
Er8 0.8074 0.1926 0.4047
Er9 0.8563 0.1437 0.7550
Er10 0.9973 0.0027 0.0000
Tl1 0.3728 0.6272 0.9421
Tl2 0.3795 0.6205 0.5676
Tl3 0.6205 0.3795 0.0676
Tl4 0.6272 0.3728 0.4421
H1 0.0702 0.9298 0.6568
H2 0.9298 0.0702 0.1568
S1 0.2994 0.7006 0.2570
S2 0.7006 0.2994 0.7570



(6)
Compound: Sr2Al
Source: Alexandria
Functional: PBE
Structure: relaxed

Total magnetic moment   0.00 μB/f.u.
ΔH_f (0 K)   -0.7 kcal/mol of atoms

Lattice parameters (Å, degrees): 10.2580 10.2580 5.7787 90.00 90.00 157.93
Positions (direct):
Sr1 0.0745 0.9255 0.7500
Sr2 0.2004 0.7996 0.2500
Sr3 0.7996 0.2004 0.7500
Sr4 0.9255 0.0745 0.2500
Al1 0.4376 0.5624 0.7500
Al2 0.5624 0.4376 0.2500